Density functional theory data (PBE) for crystalline Th2SbTe at its relaxed geometry.

Summary:
As for the total magnetic moment: 0.00 μB/f.u. The calculation puts the energy above the lowest structure with this stoichiometry at 0.000 eV/atom. The raw formation energy is -990 meV/atom. The space group is No. 225.

a b c (Å): 5.4504 5.4504 5.4504
angles (deg): 60.00 60.00 60.00
Closest atoms and distances in Å follow each position.
Fractional positions:
Sb1 0.0000 0.0000 0.0000  8 Th 3.34
Te1 0.5000 0.5000 0.5000  8 Th 3.34
Th1 0.2500 0.2500 0.2500  4 Te 3.34, 4 Sb 3.34
Th2 0.7500 0.7500 0.7500  4 Te 3.34, 4 Sb 3.34

---

Density functional theory data (PBE) for crystalline AlVFe2 at its relaxed geometry.

Summary:
As for the total magnetic moment: 3.56 μB/f.u. Its energy relative to the elements is -52.7 kJ/mol of formula units. The space group is No. 216.

a b c (Å): 4.1355 4.1355 4.1355
angles (deg): 60.00 60.00 60.00
Closest atoms and distances in Å follow each position.
Fractional positions:
Al1 0.0000 0.0000 0.0000  4 Fe 2.53, 4 V 2.53
Fe1 0.2500 0.2500 0.2500  4 Fe 2.53, 4 Al 2.53
Fe2 0.5000 0.5000 0.5000  4 V 2.53, 4 Fe 2.53
V1 0.7500 0.7500 0.7500  4 Fe 2.53, 4 Al 2.53

---

Density functional theory data (PBE) for crystalline GaCNF2 at its relaxed geometry.

Summary:
As for the total magnetic moment: 0.00 μB/f.u. The calculation puts the energy above the lowest structure with this stoichiometry at 0.990 eV/atom. The raw formation energy is 614 meV/atom. The space group is No. 123.

a b c (Å): 3.8561 3.8561 3.9974
angles (deg): 90.00 90.00 90.00
Closest atoms and distances in Å follow each position.
Fractional positions:
C1 0.5000 0.5000 0.5000  4 N 2.73, 8 F 2.78
N1 0.0000 0.0000 0.5000  2 Ga 2.00
Ga1 0.0000 0.0000 0.0000  4 F 1.93, 2 N 2.00
F1 0.0000 0.5000 0.0000  2 Ga 1.93
F2 0.5000 0.0000 0.0000  2 Ga 1.93

---

Density functional theory data (PBE) for crystalline Tb2NdSc at its relaxed geometry.

Summary:
As for the total magnetic moment: 0.00 μB/f.u. Its energy relative to the elements is 15.6 kJ/mol of formula units. The calculation puts the energy above the lowest structure with this stoichiometry at 0.000 eV/atom. The space group is No. 123.

a b c (Å): 5.0173 4.9458 4.9458
angles (deg): 90.00 90.00 90.00
Closest atoms and distances in Å follow each position.
Fractional positions:
Sc1 0.5000 0.5000 0.5000  4 Nd 3.50, 8 Tb 3.52
Nd1 0.5000 0.0000 0.0000  4 Sc 3.50, 8 Tb 3.52
Tb1 0.0000 0.0000 0.5000  4 Tb 3.50, 4 Nd 3.52, 4 Sc 3.52
Tb2 0.0000 0.5000 0.0000  4 Tb 3.50, 4 Nd 3.52, 4 Sc 3.52

---

Density functional theory data (PBE) for crystalline MnV2S5 at its relaxed geometry.

Summary:
As for the total magnetic moment: 3.10 μB/f.u. The raw formation energy is -558 meV/atom. The space group is No. 12.

a b c (Å): 4.3971 6.6009 6.5476
angles (deg): 82.90 68.20 70.55
Closest atoms and distances in Å follow each position.
Fractional positions:
Mn1 0.5000 0.5000 0.5000  6 S 2.20-2.43
V1 0.8399 0.5000 0.8768  5 S 2.30-2.44, 1 V 2.50
V2 0.1601 0.5000 0.1232  5 S 2.30-2.44, 1 V 2.50
S1 0.1894 0.7358 0.8187  2 V 2.36-2.44, 1 Mn 2.43
S2 0.5748 0.7358 0.1813  2 V 2.36-2.44, 1 Mn 2.43
S3 0.0000 0.5000 0.5000  2 Mn 2.20, 2 V 2.30
S4 0.8106 0.2642 0.1813  2 V 2.36-2.44, 1 Mn 2.43
S5 0.4252 0.2642 0.8187  2 V 2.36-2.44, 1 Mn 2.43

---

Density functional theory data (PBE) for crystalline Ca3Zn8Pd3 at its relaxed geometry.

Summary:
As for the total magnetic moment: 0.00 μB/f.u. Its energy relative to the elements is -588.1 kJ/mol of formula units. The space group is No. 71.

a b c (Å): 4.2913 8.2862 8.2862
angles (deg): 70.04 74.99 74.99
Closest atoms and distances in Å follow each position.
Fractional positions:
Ca1 0.5000 0.5000 0.5000  12 Zn 3.06-3.41, 4 Pd 3.37
Ca2 0.8274 0.1726 0.1726  10 Zn 3.09-3.43, 4 Pd 3.09-3.10
Ca3 0.1726 0.8274 0.8274  10 Zn 3.09-3.43, 4 Pd 3.09-3.10
Zn1 0.6215 0.1015 0.6554  3 Zn 2.62-2.70, 3 Pd 2.64-2.66
Zn2 0.3785 0.8985 0.3446  3 Zn 2.62-2.70, 3 Pd 2.64-2.66
Zn3 0.6215 0.6554 0.1015  3 Zn 2.62-2.70, 3 Pd 2.64-2.66
Zn4 0.3785 0.3446 0.8985  3 Zn 2.62-2.70, 3 Pd 2.64-2.66
Zn5 0.8215 0.8178 0.5392  4 Zn 2.62-2.70, 1 Pd 2.63
Zn6 0.1785 0.1822 0.4608  4 Zn 2.62-2.70, 1 Pd 2.63
Zn7 0.8215 0.5392 0.8178  4 Zn 2.62-2.70, 1 Pd 2.63
Zn8 0.1785 0.4608 0.1822  4 Zn 2.62-2.70, 1 Pd 2.63
Pd1 0.5000 0.0000 0.0000  4 Zn 2.64
Pd2 0.0000 0.7732 0.2268  6 Zn 2.63-2.66
Pd3 0.0000 0.2268 0.7732  6 Zn 2.63-2.66

---

Density functional theory data (PBE) for crystalline K2In3Sn4Hg at its relaxed geometry.

Summary:
As for the total magnetic moment: 0.00 μB/f.u. Its energy relative to the elements is -144.3 kJ/mol of formula units. The space group is No. 115.

a b c (Å): 5.1476 5.1476 12.0710
angles (deg): 90.00 90.00 90.00
Closest atoms and distances in Å follow each position.
Fractional positions:
K1 0.5000 0.0000 0.2550  8 Sn 3.90-4.01, 2 Hg 3.92, 6 In 3.92-3.93
K2 0.0000 0.5000 0.7450  8 Sn 3.90-4.01, 2 Hg 3.92, 6 In 3.92-3.93
In1 0.0000 0.0000 0.5000  4 Sn 3.01
In2 0.5000 0.0000 0.8676  5 Sn 2.88-3.03
In3 0.0000 0.5000 0.1324  5 Sn 2.88-3.03
Sn1 0.5000 0.5000 0.0000  4 In 3.03
Sn2 0.0000 0.0000 0.0000  4 In 3.03
Sn3 0.5000 0.0000 0.6290  3 In 2.88-3.01, 2 Hg 3.01
Sn4 0.0000 0.5000 0.3710  3 In 2.88-3.01, 2 Hg 3.01
Hg1 0.5000 0.5000 0.5000  4 Sn 3.01

---

Density functional theory data (PBE) for crystalline Sr3ZrO at its relaxed geometry.

Summary:
As for the total magnetic moment: 4.07 μB/f.u. The calculation puts the energy above the lowest structure with this stoichiometry at 1.627 eV/atom. The raw formation energy is 1036 meV/atom. The space group is No. 221.

a b c (Å): 6.1416 6.1416 6.1416
angles (deg): 90.00 90.00 90.00
Closest atoms and distances in Å follow each position.
Fractional positions:
Sr1 0.0000 0.5000 0.0000  2 Zr 3.07
Sr2 0.0000 0.0000 0.5000  2 Zr 3.07
Sr3 0.5000 0.0000 0.0000  2 Zr 3.07
O1 0.5000 0.5000 0.5000  12 Sr 4.34
Zr1 0.0000 0.0000 0.0000  6 Sr 3.07

---

Density functional theory data (PBE) for crystalline SrNdIn at its relaxed geometry.

Summary:
As for the total magnetic moment: 0.00 μB/f.u. Its energy relative to the elements is -70.3 kJ/mol of formula units. The calculation puts the energy above the lowest structure with this stoichiometry at 0.095 eV/atom. The space group is No. 164.

a b c (Å): 5.4421 5.4421 8.6779
angles (deg): 89.99 89.99 60.00
Closest atoms and distances in Å follow each position.
Fractional positions:
Sr1 0.6667 0.1667 0.3588  3 In 3.51, 3 Nd 3.89
Sr2 0.3333 0.8333 0.6412  3 In 3.51, 3 Nd 3.89
Nd1 0.6667 0.1667 0.9048  3 In 3.23, 3 Nd 3.55
Nd2 0.3333 0.8333 0.0952  3 In 3.23, 3 Nd 3.55
In1 0.0000 0.5000 0.8204  1 In 3.12, 3 Nd 3.23
In2 0.0000 0.5000 0.1796  1 In 3.12, 3 Nd 3.23

---

Density functional theory data (PBE) for crystalline ErBe3Ni3 at its relaxed geometry.

Summary:
As for the total magnetic moment: 0.00 μB/f.u. Its energy relative to the elements is 32.6 kJ/mol of formula units. The space group is No. 223.

a b c (Å): 5.7569 5.7569 5.7569
angles (deg): 90.00 90.00 90.00
Closest atoms and distances in Å follow each position.
Fractional positions:
Ni1 0.2500 0.0000 0.5000  4 Be 2.04
Ni2 0.0000 0.5000 0.2500  4 Be 2.04
Ni3 0.5000 0.7500 0.0000  4 Be 2.04
Ni4 0.7500 0.0000 0.5000  4 Be 2.04
Ni5 0.0000 0.5000 0.7500  4 Be 2.04
Ni6 0.5000 0.2500 0.0000  4 Be 2.04
Be1 0.0000 0.2500 0.5000  4 Ni 2.04
Be2 0.0000 0.7500 0.5000  4 Ni 2.04
Be3 0.5000 0.0000 0.7500  4 Ni 2.04
Be4 0.7500 0.5000 0.0000  4 Ni 2.04
Be5 0.5000 0.0000 0.2500  4 Ni 2.04
Be6 0.2500 0.5000 0.0000  4 Ni 2.04
Er1 0.5000 0.5000 0.5000  12 Be 3.22, 12 Ni 3.22
Er2 0.0000 0.0000 0.0000  12 Be 3.22, 12 Ni 3.22

---

Density functional theory data (PBE) for crystalline CeCd10Pd2 at its relaxed geometry.

Summary:
As for the total magnetic moment: 1.12 μB/f.u. Its energy relative to the elements is -251.0 kJ/mol of formula units. The space group is No. 69.

a b c (Å): 5.6554 7.5687 7.6573
angles (deg): 82.07 68.33 68.06
Closest atoms and distances in Å follow each position.
Fractional positions:
Ce1 0.0000 0.0000 0.0000  16 Cd 3.45-3.83, 4 Pd 3.78
Cd1 0.3445 0.6393 0.6716  2 Pd 2.90, 6 Cd 3.07-3.15
Cd2 0.6555 0.3607 0.3284  2 Pd 2.90, 6 Cd 3.07-3.15
Cd3 0.9839 0.3607 0.6716  2 Pd 2.90, 6 Cd 3.07-3.15
Cd4 0.0161 0.6393 0.3284  2 Pd 2.90, 6 Cd 3.07-3.15
Cd5 0.0000 0.0000 0.5000  10 Cd 2.83-3.15
Cd6 0.5000 0.0000 0.5000  10 Cd 2.83-3.15
Cd7 0.2873 0.2207 0.2048  2 Pd 2.82, 7 Cd 2.91-3.12
Cd8 0.7127 0.7793 0.7952  2 Pd 2.82, 7 Cd 2.91-3.12
Cd9 0.5079 0.7793 0.2048  2 Pd 2.82, 7 Cd 2.91-3.12
Cd10 0.4921 0.2207 0.7952  2 Pd 2.82, 7 Cd 2.91-3.12
Pd1 0.0000 0.5000 0.0000  8 Cd 2.82-2.90, 2 Pd 2.83
Pd2 0.5000 0.5000 0.0000  8 Cd 2.82-2.90, 2 Pd 2.83

---

Density functional theory data (PBE) for crystalline MgCdAs2 at its relaxed geometry.

Summary:
As for the total magnetic moment: 0.00 μB/f.u. Its energy relative to the elements is -3.1 kJ/mol of formula units. The calculation puts the energy above the lowest structure with this stoichiometry at 0.113 eV/atom. The space group is No. 123.

a b c (Å): 4.5302 4.5302 3.9930
angles (deg): 90.00 90.00 90.00
Closest atoms and distances in Å follow each position.
Fractional positions:
As1 0.0000 0.0000 0.0000  4 Cd 3.02, 4 Mg 3.02, 4 As 3.20
As2 0.5000 0.5000 0.0000  4 Cd 3.02, 4 Mg 3.02, 4 As 3.20
Cd1 0.5000 0.0000 0.5000  8 As 3.02, 4 Mg 3.20
Mg1 0.0000 0.5000 0.5000  8 As 3.02, 4 Cd 3.20